First-principles (PBE-GGA) data for a relaxed SrTlSb crystal, as listed in Alexandria.

offset from the most stable computed form = 0.0713 eV/atom
DOS at the Fermi energy = 2.370 states/eV per cell
raw formation energy = -0.506 eV per atom

Unit cell a=7.148 b=7.148 c=7.148 alpha=142.73 beta=100.10 gamma=91.66
Sites, in units of the cell vectors:
Sr (0.000, 0.000, 0.000)
Sr (0.581, 0.081, 0.500)
Tl (0.051, 0.727, 0.323)
Tl (0.404, 0.727, 0.677)
Sb (0.179, 0.420, 0.760)
Sb (0.660, 0.420, 0.240)

First-principles (PBE-GGA) data for a relaxed Sr4TlSb crystal, as listed in Alexandria.

DOS at the Fermi energy = 7.707 states/eV per cell
raw formation energy = 0.178 eV per atom

Unit cell a=7.053 b=7.053 c=7.053 alpha=60.00 beta=60.00 gamma=60.00
Sites, in units of the cell vectors:
Sr (0.376, 0.376, 0.376)
Sr (0.376, 0.376, 0.873)
Sr (0.376, 0.873, 0.376)
Sr (0.873, 0.376, 0.376)
Tl (0.000, 0.000, 0.000)
Sb (0.750, 0.750, 0.750)

First-principles (PBE-GGA) data for a relaxed SrTlSb2 crystal, as listed in Alexandria.

offset from the most stable computed form = 0.1897 eV/atom
DOS at the Fermi energy = 2.848 states/eV per cell
raw formation energy = -0.273 eV per atom

Unit cell a=5.659 b=5.659 c=5.659 alpha=60.00 beta=60.00 gamma=60.00
Sites, in units of the cell vectors:
Sr (0.000, 0.000, 0.000)
Tl (0.500, 0.500, 0.500)
Sb (0.250, 0.250, 0.250)
Sb (0.750, 0.750, 0.750)

First-principles (PBE-GGA) data for a relaxed Sr2Tl2Sb crystal, as listed in Alexandria.

offset from the most stable computed form = 0.4465 eV/atom
DOS at the Fermi energy = 3.607 states/eV per cell
raw formation energy = 0.010 eV per atom

Unit cell a=7.475 b=7.475 c=7.475 alpha=136.89 beta=136.89 gamma=62.61
Sites, in units of the cell vectors:
Sr (0.250, 0.750, 0.500)
Sr (0.750, 0.250, 0.500)
Tl (0.106, 0.106, 0.000)
Tl (0.894, 0.894, 0.000)
Sb (0.500, 0.500, 0.000)

First-principles (PBE-GGA) data for a relaxed SrTlSb crystal, as listed in Alexandria.

offset from the most stable computed form = 0.0049 eV/atom
raw formation energy = -0.572 eV per atom

Unit cell a=4.820 b=4.820 c=5.197 alpha=90.00 beta=90.00 gamma=120.00
Sites, in units of the cell vectors:
Sr (0.000, 0.000, 0.000)
Tl (0.667, 0.333, 0.383)
Sb (0.333, 0.667, 0.649)

First-principles (PBE-GGA) data for a relaxed SrTl3Sb crystal, as listed in Alexandria.

offset from the most stable computed form = 0.4580 eV/atom
DOS at the Fermi energy = 2.708 states/eV per cell
raw formation energy = 0.620 eV per atom

Unit cell a=6.099 b=6.099 c=6.099 alpha=90.00 beta=90.00 gamma=90.00
Sites, in units of the cell vectors:
Sr (0.000, 0.000, 0.000)
Tl (0.000, 0.000, 0.500)
Tl (0.000, 0.500, 0.000)
Tl (0.500, 0.000, 0.000)
Sb (0.500, 0.500, 0.500)

First-principles (PBE-GGA) data for a relaxed Sr3TlSb3 crystal, as listed in Alexandria.

DOS at the Fermi energy = 2.215 states/eV per cell
raw formation energy = -0.747 eV per atom

Unit cell a=11.109 b=11.109 c=13.762 alpha=90.00 beta=90.00 gamma=37.79
Sites, in units of the cell vectors:
Sr (0.021, 0.625, 0.127)
Sr (0.125, 0.521, 0.627)
Sr (0.191, 0.809, 0.860)
Sr (0.309, 0.691, 0.360)
Sr (0.375, 0.979, 0.127)
Sr (0.479, 0.875, 0.627)
Sr (0.521, 0.125, 0.373)
Sr (0.625, 0.021, 0.873)
Sr (0.691, 0.309, 0.640)
Sr (0.809, 0.191, 0.140)
Sr (0.875, 0.479, 0.373)
Sr (0.979, 0.375, 0.873)
Tl (0.090, 0.090, 0.500)
Tl (0.410, 0.410, 0.000)
Tl (0.590, 0.590, 0.000)
Tl (0.910, 0.910, 0.500)
Sb (0.072, 0.600, 0.370)
Sb (0.100, 0.572, 0.870)
Sb (0.225, 0.775, 0.618)
Sb (0.275, 0.725, 0.118)
Sb (0.400, 0.928, 0.370)
Sb (0.428, 0.900, 0.870)
Sb (0.572, 0.100, 0.130)
Sb (0.600, 0.072, 0.630)
Sb (0.725, 0.275, 0.882)
Sb (0.775, 0.225, 0.382)
Sb (0.900, 0.428, 0.130)
Sb (0.928, 0.400, 0.630)

First-principles (PBE-GGA) data for a relaxed Sr2TlSb2 crystal, as listed in Alexandria.

offset from the most stable computed form = 0.2437 eV/atom
DOS at the Fermi energy = 2.506 states/eV per cell
raw formation energy = -0.460 eV per atom

Unit cell a=7.354 b=7.354 c=7.354 alpha=133.92 beta=133.92 gamma=67.21
Sites, in units of the cell vectors:
Sr (0.250, 0.750, 0.500)
Sr (0.750, 0.250, 0.500)
Tl (0.000, 0.000, 0.000)
Sb (0.381, 0.381, 0.000)
Sb (0.619, 0.619, 0.000)

First-principles (PBE-GGA) data for a relaxed SrTl4Sb crystal, as listed in Alexandria.

DOS at the Fermi energy = 4.594 states/eV per cell
raw formation energy = -0.088 eV per atom

Unit cell a=6.508 b=6.508 c=6.508 alpha=60.00 beta=60.00 gamma=60.00
Sites, in units of the cell vectors:
Sr (0.000, 0.000, 0.000)
Tl (0.126, 0.625, 0.625)
Tl (0.625, 0.126, 0.625)
Tl (0.625, 0.625, 0.126)
Tl (0.625, 0.625, 0.625)
Sb (0.250, 0.250, 0.250)

First-principles (PBE-GGA) data for a relaxed SrTl3Sb3 crystal, as listed in Alexandria.

offset from the most stable computed form = 0.3480 eV/atom
DOS at the Fermi energy = 5.835 states/eV per cell
raw formation energy = 0.149 eV per atom

Unit cell a=8.342 b=8.342 c=8.342 alpha=90.00 beta=90.00 gamma=90.00
Sites, in units of the cell vectors:
Sr (0.000, 0.000, 0.000)
Sr (0.500, 0.500, 0.500)
Tl (0.000, 0.250, 0.500)
Tl (0.000, 0.750, 0.500)
Tl (0.250, 0.500, 0.000)
Tl (0.500, 0.000, 0.250)
Tl (0.500, 0.000, 0.750)
Tl (0.750, 0.500, 0.000)
Sb (0.000, 0.500, 0.250)
Sb (0.000, 0.500, 0.750)
Sb (0.250, 0.000, 0.500)
Sb (0.500, 0.250, 0.000)
Sb (0.500, 0.750, 0.000)
Sb (0.750, 0.000, 0.500)

First-principles (PBE-GGA) data for a relaxed SrTlSb2 crystal, as listed in Alexandria.

offset from the most stable computed form = 0.0141 eV/atom
DOS at the Fermi energy = 1.399 states/eV per cell
raw formation energy = -0.449 eV per atom

Unit cell a=6.120 b=6.120 c=6.120 alpha=132.65 beta=132.65 gamma=69.20
Sites, in units of the cell vectors:
Sr (0.000, 0.000, 0.000)
Tl (0.500, 0.500, 0.000)
Sb (0.250, 0.750, 0.500)
Sb (0.750, 0.250, 0.500)

First-principles (PBE-GGA) data for a relaxed Sr2TlSb2 crystal, as listed in Alexandria.

offset from the most stable computed form = 0.0759 eV/atom
DOS at the Fermi energy = 2.337 states/eV per cell
raw formation energy = -0.628 eV per atom

Unit cell a=9.589 b=9.589 c=3.789 alpha=90.00 beta=90.00 gamma=90.00
Sites, in units of the cell vectors:
Sr (0.135, 0.365, 0.000)
Sr (0.365, 0.865, 0.000)
Sr (0.635, 0.135, 0.000)
Sr (0.865, 0.635, 0.000)
Tl (0.000, 0.000, 0.000)
Tl (0.500, 0.500, 0.000)
Sb (0.165, 0.665, 0.500)
Sb (0.335, 0.165, 0.500)
Sb (0.665, 0.835, 0.500)
Sb (0.835, 0.335, 0.500)

First-principles (PBE-GGA) data for a relaxed SrTlSb crystal, as listed in Alexandria.

offset from the most stable computed form = 0.0860 eV/atom
DOS at the Fermi energy = 0.823 states/eV per cell
raw formation energy = -0.491 eV per atom

Unit cell a=5.573 b=5.573 c=5.573 alpha=60.00 beta=60.00 gamma=60.00
Sites, in units of the cell vectors:
Sr (0.000, 0.000, 0.000)
Tl (0.500, 0.500, 0.500)
Sb (0.750, 0.750, 0.750)

First-principles (PBE-GGA) data for a relaxed Sr2TlSb2 crystal, as listed in Alexandria.

offset from the most stable computed form = 0.0000 eV/atom
DOS at the Fermi energy = 2.963 states/eV per cell
raw formation energy = -0.704 eV per atom

Unit cell a=6.487 b=6.487 c=6.487 alpha=135.70 beta=110.46 gamma=86.26
Sites, in units of the cell vectors:
Sr (0.212, 0.212, 0.000)
Sr (0.788, 0.788, 0.000)
Tl (0.500, 0.000, 0.500)
Sb (0.202, 0.500, 0.702)
Sb (0.798, 0.500, 0.298)

First-principles (PBE-GGA) data for a relaxed SrTlSb crystal, as listed in Alexandria.

offset from the most stable computed form = 0.1077 eV/atom
DOS at the Fermi energy = 0.728 states/eV per cell
raw formation energy = -0.469 eV per atom

Unit cell a=5.835 b=5.835 c=5.835 alpha=133.39 beta=133.39 gamma=68.04
Sites, in units of the cell vectors:
Sr (0.000, 0.000, 0.000)
Tl (0.325, 0.325, 0.000)
Sb (0.649, 0.649, 0.000)

First-principles (PBE-GGA) data for a relaxed Sr2Tl2Sb crystal, as listed in Alexandria.

offset from the most stable computed form = 0.0028 eV/atom
DOS at the Fermi energy = 3.887 states/eV per cell
raw formation energy = -0.433 eV per atom

Unit cell a=10.290 b=10.290 c=10.290 alpha=155.87 beta=155.87 gamma=34.38
Sites, in units of the cell vectors:
Sr (0.092, 0.092, 0.000)
Sr (0.908, 0.908, 0.000)
Tl (0.250, 0.750, 0.500)
Tl (0.750, 0.250, 0.500)
Sb (0.500, 0.500, 0.000)

First-principles (PBE-GGA) data for a relaxed SrTlSb crystal, as listed in Alexandria.

offset from the most stable computed form = 0.0000 eV/atom
DOS at the Fermi energy = 0.974 states/eV per cell
raw formation energy = -0.577 eV per atom

Unit cell a=8.289 b=5.002 c=10.593 alpha=90.00 beta=90.00 gamma=90.00
Sites, in units of the cell vectors:
Sr (0.141, 0.250, 0.156)
Sr (0.359, 0.750, 0.656)
Sr (0.641, 0.250, 0.344)
Sr (0.859, 0.750, 0.844)
Tl (0.006, 0.750, 0.422)
Tl (0.494, 0.250, 0.922)
Tl (0.506, 0.750, 0.078)
Tl (0.994, 0.250, 0.578)
Sb (0.145, 0.250, 0.832)
Sb (0.355, 0.750, 0.332)
Sb (0.645, 0.250, 0.668)
Sb (0.855, 0.750, 0.168)

First-principles (PBE-GGA) data for a relaxed SrTlSb2 crystal, as listed in Alexandria.

offset from the most stable computed form = 0.3107 eV/atom
DOS at the Fermi energy = 3.574 states/eV per cell
raw formation energy = -0.152 eV per atom

Unit cell a=9.137 b=9.137 c=9.137 alpha=26.91 beta=26.91 gamma=26.91
Sites, in units of the cell vectors:
Sr (0.000, 0.000, 0.000)
Tl (0.763, 0.763, 0.763)
Sb (0.244, 0.244, 0.244)
Sb (0.510, 0.510, 0.510)

First-principles (PBE-GGA) data for a relaxed SrTlSb2 crystal, as listed in Alexandria.

offset from the most stable computed form = 0.0634 eV/atom
DOS at the Fermi energy = 1.653 states/eV per cell
raw formation energy = -0.399 eV per atom

Unit cell a=5.977 b=5.977 c=3.646 alpha=90.00 beta=90.00 gamma=107.79
Sites, in units of the cell vectors:
Sr (0.000, 0.000, 0.000)
Tl (0.500, 0.500, 0.000)
Sb (0.000, 0.500, 0.500)
Sb (0.500, 0.000, 0.500)

First-principles (PBE-GGA) data for a relaxed SrTlSb2 crystal, as listed in Alexandria.

offset from the most stable computed form = 0.0319 eV/atom
DOS at the Fermi energy = 1.836 states/eV per cell
raw formation energy = -0.431 eV per atom

Unit cell a=4.327 b=4.527 c=6.804 alpha=90.00 beta=90.00 gamma=90.00
Sites, in units of the cell vectors:
Sr (0.000, 0.000, 0.000)
Tl (0.000, 0.000, 0.500)
Sb (0.500, 0.500, 0.213)
Sb (0.500, 0.500, 0.787)

First-principles (PBE-GGA) data for a relaxed SrTl3Sb3 crystal, as listed in Alexandria.

offset from the most stable computed form = 0.0000 eV/atom
DOS at the Fermi energy = 5.324 states/eV per cell
raw formation energy = -0.199 eV per atom

Unit cell a=12.850 b=12.850 c=12.850 alpha=29.75 beta=29.75 gamma=29.75
Sites, in units of the cell vectors:
Sr (0.191, 0.191, 0.191)
Sr (0.809, 0.809, 0.809)
Tl (0.028, 0.617, 0.239)
Tl (0.239, 0.028, 0.617)
Tl (0.383, 0.761, 0.972)
Tl (0.617, 0.239, 0.028)
Tl (0.761, 0.972, 0.383)
Tl (0.972, 0.383, 0.761)
Sb (0.238, 0.695, 0.732)
Sb (0.268, 0.762, 0.305)
Sb (0.305, 0.268, 0.762)
Sb (0.695, 0.732, 0.238)
Sb (0.732, 0.238, 0.695)
Sb (0.762, 0.305, 0.268)

First-principles (PBE-GGA) data for a relaxed SrTlSb2 crystal, as listed in Alexandria.

offset from the most stable computed form = 0.0534 eV/atom
DOS at the Fermi energy = 2.480 states/eV per cell
raw formation energy = -0.409 eV per atom

Unit cell a=6.591 b=6.591 c=6.591 alpha=143.58 beta=131.24 gamma=62.36
Sites, in units of the cell vectors:
Sr (0.000, 0.000, 0.000)
Tl (0.269, 0.769, 0.500)
Sb (0.522, 0.522, 0.000)
Sb (0.722, 0.222, 0.500)

First-principles (PBE-GGA) data for a relaxed SrTlSb2 crystal, as listed in Alexandria.

offset from the most stable computed form = 0.2005 eV/atom
DOS at the Fermi energy = 2.634 states/eV per cell
raw formation energy = -0.262 eV per atom

Unit cell a=5.613 b=5.613 c=5.613 alpha=60.00 beta=60.00 gamma=60.00
Sites, in units of the cell vectors:
Sr (0.000, 0.000, 0.000)
Tl (0.750, 0.750, 0.750)
Sb (0.250, 0.250, 0.250)
Sb (0.500, 0.500, 0.500)

First-principles (PBE-GGA) data for a relaxed SrTmSb2 crystal, as listed in Alexandria.

offset from the most stable computed form = 0.0000 eV/atom
DOS at the Fermi energy = 2.625 states/eV per cell
raw formation energy = -0.918 eV per atom

Unit cell a=8.166 b=8.166 c=8.166 alpha=31.57 beta=31.57 gamma=31.57
Sites, in units of the cell vectors:
Sr (0.000, 0.000, 0.000)
Tm (0.500, 0.500, 0.500)
Sb (0.240, 0.240, 0.240)
Sb (0.760, 0.760, 0.760)

First-principles (PBE-GGA) data for a relaxed SrTmSb2 crystal, as listed in Alexandria.

offset from the most stable computed form = 0.0828 eV/atom
DOS at the Fermi energy = 3.277 states/eV per cell
raw formation energy = -0.836 eV per atom

Unit cell a=7.847 b=7.847 c=7.847 alpha=34.27 beta=34.27 gamma=34.27
Sites, in units of the cell vectors:
Sr (0.000, 0.000, 0.000)
Tm (0.828, 0.828, 0.828)
Sb (0.424, 0.424, 0.424)
Sb (0.571, 0.571, 0.571)

First-principles (PBE-GGA) data for a relaxed Sr5TmSb4 crystal, as listed in Alexandria.

DOS at the Fermi energy = 4.507 states/eV per cell
raw formation energy = -0.853 eV per atom

Unit cell a=10.824 b=10.824 c=10.824 alpha=154.40 beta=132.53 gamma=54.70
Sites, in units of the cell vectors:
Sr (0.000, 0.000, 0.000)
Sr (0.086, 0.333, 0.753)
Sr (0.420, 0.667, 0.753)
Sr (0.580, 0.333, 0.247)
Sr (0.914, 0.667, 0.247)
Tm (0.500, 0.000, 0.500)
Sb (0.266, 0.500, 0.766)
Sb (0.307, 0.807, 0.500)
Sb (0.693, 0.193, 0.500)
Sb (0.734, 0.500, 0.234)